1.
# Cu2SnPb

A relaxed structure of Cu2SnPb (PBE, the Alexandria database).

abc: 4.556 4.556 17.405
angles: 90.00 90.00 90.00
Space group I-42d (No. 122)
Symmetry-distinct sites (fractional):
Cu: 0.168 0.250 0.125 x8
Sn: 0.000 0.000 0.000 x4
Pb: 0.000 0.000 0.500 x4

Summary:
As for the crystal system: tetragonal. Its density is 8.3 Mg/m³. For the volume, the calculation gives 22.6 Å³/atom. As for the energy relative to the elements: 0.2923 eV/atom.

2.
# Cu2SnPb2

A relaxed structure of Cu2SnPb2 (PBE, the Alexandria database).

abc: 7.124 7.124 4.435
angles: 90.00 90.00 90.00
Space group P4/mbm (No. 127)
Symmetry-distinct sites (fractional):
Cu: 0.125 0.375 0.000 x4
Sn: 0.000 0.000 0.000 x2
Pb: 0.170 0.670 0.500 x4

Summary:
As for the crystal system: tetragonal. As for the energy above the most stable polymorph in this dataset: 0 meV/atom. Its density is 9.7 Mg/m³. For the volume, the calculation gives 22.5 Å³/atom. As for the energy relative to the elements: 0.1574 eV/atom.

3.
# Cu2SnPb2

A relaxed structure of Cu2SnPb2 (PBE, the Alexandria database).

abc: 8.563 8.563 3.177
angles: 90.00 90.00 90.00
Space group P4/mbm (No. 127)
Symmetry-distinct sites (fractional):
Cu: 0.105 0.395 0.000 x4
Sn: 0.000 0.000 0.500 x2
Pb: 0.179 0.679 0.500 x4

Summary:
As for the crystal system: tetragonal. As for the energy above the most stable polymorph in this dataset: 161 meV/atom. Its density is 9.4 Mg/m³. For the volume, the calculation gives 23.3 Å³/atom. As for the energy relative to the elements: 0.3187 eV/atom.

4.
# Cu4SnPb

A relaxed structure of Cu4SnPb (PBE, the Alexandria database).

abc: 7.367 7.367 7.367
angles: 90.00 90.00 90.00
Space group F-43m (No. 216)
Symmetry-distinct sites (fractional):
Cu: 0.125 0.125 0.125 x16
Sn: 0.000 0.000 0.500 x4
Pb: 0.250 0.250 0.750 x4

Summary:
As for the crystal system: cubic. Its density is 9.6 Mg/m³. For the volume, the calculation gives 16.7 Å³/atom. As for the energy relative to the elements: 0.1225 eV/atom.

| no. | magnetization (μB/f.u.) |
| --- | --- |
| 1 | 0.0 |
| 2 | 0.0 |
| 3 | 0.0 |
| 4 | 0.0 |